DFT (GGA+U) results for a geometry-optimized Li6CrFeP2C2O14 structure.

Computed properties:
E: -175.605 eV for the cell shown
calculated density: 2.7 g/cm³
total magnetization: 0.308 μB per atom

Lattice parameters (Å, degrees): 5.030 6.443 8.662 90.00 96.39 90.00
Space group Pm (No. 6)
Inequivalent atoms, fractional coordinates:
Li 0.000 0.000 0.000 (multiplicity 1)
Li 0.084 0.270 0.618 (multiplicity 2)
Li 0.523 0.233 0.160 (multiplicity 2)
Li 0.607 0.500 0.784 (multiplicity 1)
Cr 0.604 0.000 0.557 (multiplicity 1)
Fe 0.009 0.500 0.221 (multiplicity 1)
P 0.063 0.000 0.296 (multiplicity 1)
P 0.535 0.500 0.478 (multiplicity 1)
C 0.135 0.500 0.929 (multiplicity 1)
C 0.474 0.000 0.851 (multiplicity 1)
O 0.211 0.500 0.790 (multiplicity 1)
O 0.222 0.500 0.462 (multiplicity 1)
O 0.308 0.000 0.722 (multiplicity 1)
O 0.313 0.500 0.052 (multiplicity 1)
O 0.372 0.000 0.306 (multiplicity 1)
O 0.384 0.000 0.986 (multiplicity 1)
O 0.629 0.500 0.316 (multiplicity 1)
O 0.647 0.314 0.582 (multiplicity 2)
O 0.726 0.000 0.838 (multiplicity 1)
O 0.886 0.500 0.952 (multiplicity 1)
O 0.947 0.188 0.196 (multiplicity 2)
O 0.974 0.000 0.461 (multiplicity 1)